No. 1
DFT (PBE-GGA) results for crystalline La2SiTe at its relaxed geometry.

a b c (Å): 6.455 6.455 6.455
angles (deg): 139.10 139.10 59.22
Sites, in units of the cell vectors:
La: 0.000 0.000 0.000
Te: 0.750 0.250 0.500
Si: 0.500 0.500 0.000
La: 0.250 0.750 0.500

calculated total energy	-5.39	eV/atom
theoretical density	6.30	g/cm3
uncorrected formation energy	-789	meV per atom
crystal system	tetragonal
N(E_F)	0.643	states/eV/atom



No. 2
DFT (PBE-GGA) results for crystalline La2SiTe at its relaxed geometry.

a b c (Å): 8.242 8.242 6.921
angles (deg): 53.45 53.45 90.00
Sites, in units of the cell vectors:
La: 0.375 0.397 0.750
Si: 0.250 0.750 0.500
La: 0.875 0.853 0.750
Te: 0.000 0.000 0.000
La: 0.603 0.125 0.250
Si: 0.500 0.500 0.000
Te: 0.750 0.250 0.500
La: 0.147 0.625 0.250

calculated total energy	-5.42	eV/atom
theoretical density	5.68	g/cm3
uncorrected formation energy	-817	meV per atom
crystal system	tetragonal
N(E_F)	0.172	states/eV/atom



No. 3
DFT (PBE-GGA) results for crystalline La5Si2Te at its relaxed geometry.

a b c (Å): 8.064 8.064 9.267
angles (deg): 115.79 115.79 90.00
Last column: magnetic moment on the atom in μB.
Sites, in units of the cell vectors:
La: 0.030 0.530 0.723  0.13
La: 0.970 0.470 0.277  0.13
La: 0.808 0.970 0.277  0.13
La: 0.192 0.030 0.723  0.13
La: 0.692 0.192 0.723  0.13
La: 0.470 0.308 0.277  0.13
Si: 0.880 0.620 0.000  -0.01
La: 0.500 0.500 0.000  0.34
Si: 0.380 0.880 0.000  -0.01
La: 0.308 0.808 0.277  0.13
Si: 0.120 0.380 0.000  -0.01
Te: 0.250 0.250 0.500  -0.01
La: 0.000 0.000 0.000  0.34
Si: 0.620 0.120 0.000  -0.01
La: 0.530 0.692 0.723  0.13
Te: 0.750 0.750 0.500  -0.01

calculated total energy	-5.61	eV/atom
theoretical density	6.14	g/cm3
uncorrected formation energy	-784	meV per atom
crystal system	tetragonal
N(E_F)	1.170	states/eV/atom



No. 4
DFT (PBE-GGA) results for crystalline La4SiTe3 at its relaxed geometry.

a b c (Å): 4.511 7.902 7.902
angles (deg): 109.04 90.00 90.00
Sites, in units of the cell vectors:
La: 0.500 0.763 0.237
Te: 0.500 0.500 0.500
Te: 0.000 0.500 0.000
La: 0.500 0.237 0.763
Te: 0.000 0.000 0.500
La: 0.000 0.228 0.228
La: 0.000 0.772 0.772
Si: 0.500 0.000 0.000

calculated total energy	-5.74	eV/atom
theoretical density	6.03	g/cm3
uncorrected formation energy	-1424	meV per atom
crystal system	orthorhombic
N(E_F)	0.488	states/eV/atom



No. 5
DFT (PBE-GGA) results for crystalline LaSi4Te at its relaxed geometry.

a b c (Å): 5.488 5.488 5.488
angles (deg): 60.00 60.00 60.00
Sites, in units of the cell vectors:
Te: 0.750 0.750 0.750
La: 0.000 0.000 0.000
Si: 0.376 0.872 0.376
Si: 0.376 0.376 0.872
Si: 0.872 0.376 0.376
Si: 0.376 0.376 0.376

calculated total energy	-5.07	eV/atom
theoretical density	5.38	g/cm3
uncorrected formation energy	-108	meV per atom
crystal system	cubic
N(E_F)	0.436	states/eV/atom



No. 6
DFT (PBE-GGA) results for crystalline LaSiTe at its relaxed geometry.

a b c (Å): 5.860 5.860 5.860
angles (deg): 136.13 139.92 60.92
Sites, in units of the cell vectors:
Si: 0.381 0.381 0.000
La: 0.978 0.978 0.000
Te: 0.641 0.641 0.000

calculated total energy	-5.07	eV/atom
theoretical density	5.51	g/cm3
uncorrected formation energy	-572	meV per atom
crystal system	orthorhombic
N(E_F)	0.698	states/eV/atom



No. 7
DFT (PBE-GGA) results for crystalline La2SiTe at its relaxed geometry.

a b c (Å): 5.451 5.451 5.451
angles (deg): 60.00 60.00 60.00
Sites, in units of the cell vectors:
Si: 0.000 0.000 0.000
La: 0.250 0.250 0.250
La: 0.750 0.750 0.750
Te: 0.500 0.500 0.500

calculated total energy	-5.46	eV/atom
theoretical density	6.29	g/cm3
uncorrected formation energy	-859	meV per atom
crystal system	cubic
N(E_F)	0.477	states/eV/atom



No. 8
DFT (PBE-GGA) results for crystalline La2SiTe at its relaxed geometry.

a b c (Å): 3.799 3.863 8.501
angles (deg): 68.26 90.00 90.00
Sites, in units of the cell vectors:
La: 0.000 0.046 0.019
La: 0.000 0.454 0.481
Te: 0.500 0.750 0.750
Si: 0.500 0.250 0.250

calculated total energy	-5.56	eV/atom
theoretical density	6.21	g/cm3
uncorrected formation energy	-950	meV per atom
crystal system	monoclinic
N(E_F)	0.367	states/eV/atom



No. 9
DFT (PBE-GGA) results for crystalline La2SiTe at its relaxed geometry.

a b c (Å): 4.453 4.453 15.333
angles (deg): 90.00 90.00 120.00
Sites, in units of the cell vectors:
Si: 0.000 0.000 0.000
La: 0.333 0.667 0.391
Te: 0.333 0.667 0.750
La: 0.667 0.333 0.609
La: 0.667 0.333 0.891
Si: 0.000 0.000 0.500
Te: 0.667 0.333 0.250
La: 0.333 0.667 0.109

calculated total energy	-5.74	eV/atom
theoretical density	5.47	g/cm3
uncorrected formation energy	-1137	meV per atom
crystal system	hexagonal
N(E_F)	0.296	states/eV/atom



No. 10
DFT (PBE-GGA) results for crystalline LaSiTe at its relaxed geometry.

a b c (Å): 3.758 3.758 6.765
angles (deg): 90.00 90.00 120.00
Sites, in units of the cell vectors:
Te: 0.333 0.667 0.627
La: 0.000 0.000 0.010
Si: 0.667 0.333 0.363

calculated total energy	-4.61	eV/atom
theoretical density	5.91	g/cm3
uncorrected formation energy	-110	meV per atom
crystal system	trigonal
N(E_F)	1.194	states/eV/atom



No. 11
DFT (PBE-GGA) results for crystalline La3SiTe at its relaxed geometry.

a b c (Å): 7.544 10.061 10.061
angles (deg): 77.56 80.40 80.40
Last column: magnetic moment on the atom in μB.
Sites, in units of the cell vectors:
Si: 0.250 0.746 0.254  0.00
Te: 0.308 0.154 0.351  0.00
Te: 0.692 0.846 0.649  0.00
La: 0.963 0.971 0.810  0.01
Si: 0.750 0.912 0.088  0.00
La: 0.464 0.153 0.640  0.03
La: 0.036 0.360 0.847  0.03
La: 0.463 0.810 0.971  0.01
La: 0.037 0.029 0.190  0.01
Te: 0.808 0.351 0.154  0.00
La: 0.564 0.533 0.667  0.16
Si: 0.750 0.254 0.746  0.00
La: 0.536 0.847 0.360  0.03
Te: 0.192 0.649 0.846  0.00
La: 0.964 0.640 0.153  0.03
La: 0.064 0.667 0.533  0.16
La: 0.436 0.467 0.333  0.16
Si: 0.250 0.088 0.912  0.00
La: 0.537 0.190 0.029  0.01
La: 0.936 0.333 0.467  0.16

calculated total energy	-5.49	eV/atom
theoretical density	5.22	g/cm3
uncorrected formation energy	-819	meV per atom
crystal system	monoclinic
N(E_F)	0.893	states/eV/atom



No. 12
DFT (PBE-GGA) results for crystalline LaSiTe at its relaxed geometry.

a b c (Å): 4.795 4.795 4.076
angles (deg): 90.00 90.00 120.00
Sites, in units of the cell vectors:
Te: 0.333 0.667 0.500
Si: 0.667 0.333 0.500
La: 0.000 0.000 0.000

calculated total energy	-5.03	eV/atom
theoretical density	6.03	g/cm3
uncorrected formation energy	-529	meV per atom
crystal system	hexagonal
N(E_F)	0.627	states/eV/atom



Number 7 is which compound?
La2SiTe



Among the records above, which one has the highest theoretical density?
number 1



Look up the N(E_F) of the fifth one.
0.436 states/eV/atom